A geometry-optimized Tb5Pd2Pt2 structure. Source: Alexandria via LeMat-Bulk, functional GGA-PBE.

Computed properties:
Uncorrected energy   -6.020 eV/atom
DFT formation energy   -0.95 eV/atom

Unit cell a=8.285 b=8.285 c=7.723 alpha=90.00 beta=90.00 gamma=54.44
Atoms (fractional coordinates):
Tb1 0.000 0.000 0.000
Tb2 0.035 0.693 0.667
Tb3 0.193 0.535 0.167
Tb4 0.307 0.965 0.667
Tb5 0.465 0.807 0.167
Tb6 0.500 0.500 0.500
Tb7 0.535 0.193 0.833
Tb8 0.693 0.035 0.333
Tb9 0.807 0.465 0.833
Tb10 0.965 0.307 0.333
Pd1 0.203 0.203 0.000
Pd2 0.297 0.297 0.500
Pd3 0.703 0.703 0.500
Pd4 0.797 0.797 0.000
Pt1 0.132 0.868 0.368
Pt2 0.368 0.632 0.868
Pt3 0.632 0.368 0.132
Pt4 0.868 0.132 0.632